# 1
First-principles (GGA-PBE) data for an optimized crystal structure of Pm3Y5Th, as listed in Alexandria.

The structure in POSCAR format:
```
Pm3Y5Th
1.0
9.8182 0.0000 0.0000
-4.9091 8.5028 0.0000
0.0000 0.0000 7.0846
Pm Y Th
6 10 2
direct
0.0000 0.3349 0.2500
0.0000 0.6651 0.7500
0.3349 0.0000 0.2500
0.3349 0.3349 0.7500
0.6651 0.0000 0.7500
0.6651 0.6651 0.2500
0.0000 0.3300 0.7500
0.0000 0.6700 0.2500
0.3300 0.0000 0.7500
0.3300 0.3300 0.2500
0.3333 0.6667 0.0000
0.3333 0.6667 0.5000
0.6667 0.3333 0.0000
0.6667 0.3333 0.5000
0.6700 0.0000 0.2500
0.6700 0.6700 0.7500
0.0000 0.0000 0.0000
0.0000 0.0000 0.5000
```

Summary:
D(E_F) (states/eV/f.u.): 15.26
Volume (Å³/cell): 591.4
Space-group type: P6_3/mcm, No. 193
Total DFT energy (no corrections) (eV per atom): -5.94
E_form (eV per atom): 0.058

# 2
First-principles (GGA-PBE) data for an optimized crystal structure of PmY2Th2, as listed in Alexandria.

The structure in POSCAR format:
```
PmY2Th2
1.0
3.5841 0.0000 0.0000
-1.7921 3.1040 0.0000
0.0000 0.0000 14.7085
Pm Y Th
1 2 2
direct
0.0000 0.0000 0.0000
0.3333 0.6667 0.7996
0.6667 0.3333 0.2004
0.3333 0.6667 0.4020
0.6667 0.3333 0.5980
```

Summary:
D(E_F) (states/eV/f.u.): 6.76
Volume (Å³/cell): 163.6
Space-group type: P-3m1, No. 164
Total DFT energy (no corrections) (eV per atom): -6.47
E_form (eV per atom): 0.034

# 3
First-principles (GGA-PBE) data for an optimized crystal structure of PmY2Th4, as listed in Alexandria.

The structure in POSCAR format:
```
PmY2Th4
1.0
9.3105 0.0000 0.0000
0.0000 9.3105 0.0000
0.0000 0.0000 5.6635
Pm Y Th
2 4 8
direct
0.0000 0.0000 0.0000
0.5000 0.5000 0.5000
0.1809 0.1809 0.5000
0.3191 0.6809 0.0000
0.6809 0.3191 0.0000
0.8191 0.8191 0.5000
0.1128 0.3746 0.0000
0.1254 0.6128 0.5000
0.3746 0.1128 0.0000
0.3872 0.8746 0.5000
0.6128 0.1254 0.5000
0.6254 0.8872 0.0000
0.8746 0.3872 0.5000
0.8872 0.6254 0.0000
```

Summary:
D(E_F) (states/eV/f.u.): 11.15
Volume (Å³/cell): 490.9
Space-group type: P4_2/mnm, No. 136
Total DFT energy (no corrections) (eV per atom): -6.46
E_form (eV per atom): 0.307

# 4
First-principles (GGA-PBE) data for an optimized crystal structure of Pm12YTh7, as listed in Alexandria.

The structure in POSCAR format:
```
Pm12YTh7
1.0
-5.7929 5.7929 5.7929
5.7929 -5.7929 5.7929
5.7929 5.7929 -5.7929
Pm Y Th
12 1 7
direct
0.0758 0.3032 0.7727
0.2273 0.5305 0.3032
0.2273 0.9242 0.6968
0.3032 0.2273 0.5305
0.3032 0.7727 0.0758
0.4695 0.6968 0.7727
0.5305 0.3032 0.2273
0.6968 0.2273 0.9242
0.6968 0.7727 0.4695
0.7727 0.0758 0.3032
0.7727 0.4695 0.6968
0.9242 0.6968 0.2273
0.0000 0.0000 0.0000
0.0000 0.0000 0.5000
0.0000 0.5000 0.0000
0.0000 0.5000 0.5000
0.5000 0.0000 0.0000
0.5000 0.0000 0.5000
0.5000 0.5000 0.0000
0.5000 0.5000 0.5000
```

Summary:
D(E_F) (states/eV/f.u.): 43.13
Volume (Å³/cell): 777.6
Space-group type: Im-3, No. 204
Total DFT energy (no corrections) (eV per atom): -4.89
E_form (eV per atom): 0.876

# 5
First-principles (GGA-PBE) data for an optimized crystal structure of Pm3Y5Th2, as listed in Alexandria.

The structure in POSCAR format:
```
Pm3Y5Th2
1.0
5.4212 -8.6722 0.0000
5.4212 8.6722 0.0000
-5.4071 0.0000 7.1671
Pm Y Th
6 10 4
direct
0.0209 0.2689 0.0395
0.2216 0.7784 0.7500
0.2689 0.0209 0.5395
0.7311 0.9791 0.4605
0.7784 0.2216 0.2500
0.9791 0.7311 0.9605
0.0303 0.9697 0.7500
0.1300 0.3690 0.7515
0.2793 0.7207 0.2500
0.3690 0.1300 0.2515
0.4681 0.5319 0.2500
0.5319 0.4681 0.7500
0.6310 0.8700 0.7485
0.7207 0.2793 0.7500
0.8700 0.6310 0.2485
0.9697 0.0303 0.2500
0.2390 0.4851 0.4746
0.4851 0.2390 0.9746
0.5149 0.7610 0.0254
0.7610 0.5149 0.5254
```

Summary:
D(E_F) (states/eV/f.u.): 14.46
Volume (Å³/cell): 673.9
Space-group type: C2/c, No. 15
Total DFT energy (no corrections) (eV per atom): -5.94
E_form (eV per atom): 0.202

# 6
First-principles (GGA-PBE) data for an optimized crystal structure of Pm4Y10Th, as listed in Alexandria.

The structure in POSCAR format:
```
Pm4Y10Th
1.0
-5.6570 5.6570 4.0362
5.6570 -5.6570 4.0362
5.6570 5.6570 -4.0362
Pm Y Th
4 10 1
direct
0.2252 0.2252 0.4504
0.2252 0.7748 0.0000
0.7748 0.2252 0.0000
0.7748 0.7748 0.5496
0.0871 0.2947 0.7924
0.2500 0.7500 0.5000
0.2947 0.0871 0.7924
0.2947 0.5023 0.2076
0.4977 0.7053 0.7924
0.5023 0.2947 0.2076
0.7053 0.4977 0.7924
0.7053 0.9129 0.2076
0.7500 0.2500 0.5000
0.9129 0.7053 0.2076
0.0000 0.0000 0.0000
```

Summary:
D(E_F) (states/eV/f.u.): 18.37
Volume (Å³/cell): 516.7
Space-group type: I4/mmm, No. 139
Total DFT energy (no corrections) (eV per atom): -5.82
E_form (eV per atom): 0.252

> Among the records above, which one has the highest volume?

Pm12YTh7

What did the first record say?
First-principles (GGA-PBE) data for an optimized crystal structure of Pm3Y5Th, as listed in Alexandria.

The structure in POSCAR format:
```
Pm3Y5Th
1.0
9.8182 0.0000 0.0000
-4.9091 8.5028 0.0000
0.0000 0.0000 7.0846
Pm Y Th
6 10 2
direct
0.0000 0.3349 0.2500
0.0000 0.6651 0.7500
0.3349 0.0000 0.2500
0.3349 0.3349 0.7500
0.6651 0.0000 0.7500
0.6651 0.6651 0.2500
0.0000 0.3300 0.7500
0.0000 0.6700 0.2500
0.3300 0.0000 0.7500
0.3300 0.3300 0.2500
0.3333 0.6667 0.0000
0.3333 0.6667 0.5000
0.6667 0.3333 0.0000
0.6667 0.3333 0.5000
0.6700 0.0000 0.2500
0.6700 0.6700 0.7500
0.0000 0.0000 0.0000
0.0000 0.0000 0.5000
```

Summary:
D(E_F) (states/eV/f.u.): 15.26
Volume (Å³/cell): 591.4
Space-group type: P6_3/mcm, No. 193
Total DFT energy (no corrections) (eV per atom): -5.94
E_form (eV per atom): 0.058